LiAg2Au6 | PBE-GGA | relaxed

Geometry as POSCAR:
```
LiAg2Au6
1.0
4.1601 0.0000 0.0001
0.0000 8.7079 0.0000
0.0015 0.0000 8.7082
Li Ag Au
2 4 12
Direct
0.5000 0.5000 0.0000
0.0000 0.0000 0.5000
0.0001 0.3363 0.8363
0.4999 0.8363 0.6637
0.5001 0.1637 0.3363
0.9999 0.6637 0.1637
0.0000 0.9990 0.1717
0.9999 0.6717 0.4990
0.9999 0.6644 0.8356
0.5001 0.1644 0.6644
0.5001 0.1717 0.0010
0.5000 0.4990 0.3283
0.0000 0.0010 0.8283
0.0001 0.3283 0.5010
0.0001 0.3356 0.1644
0.4999 0.8356 0.3356
0.4999 0.8283 0.9990
0.5000 0.5010 0.6717
```

Properties
DOS(E_F) = 0.3850 states/eV/atom
symmetry = P4_2/mnm
distance to the lowest polymorph of the same formula = 0.0000 eV/atom
calculated formation energy = -0.153 eV per atom